! BaNd2O4 | Alexandria via LeMat-Bulk | SCAN | single point on PBEsol structure; values from VASP
&SYSTEM
  ibrav = 0, nat = 28, ntyp = 3
/
ATOMIC_SPECIES
O 16.00 O.upf
Ba 137.33 Ba.upf
Nd 144.24 Nd.upf
CELL_PARAMETERS angstrom
-2.189 -0.697 2.769
-7.873 -1.968 -6.721
3.320 -11.964 -0.387
ATOMIC_POSITIONS crystal
O 0.250 0.431 0.423
O 0.750 0.487 0.218
O 0.250 0.013 0.718
O 0.250 0.713 0.328
O 0.750 0.987 0.282
O 0.250 0.124 0.483
O 0.250 0.213 0.172
O 0.750 0.569 0.577
O 0.250 0.513 0.782
O 0.750 0.376 0.983
O 0.250 0.931 0.077
O 0.250 0.624 0.017
O 0.750 0.069 0.923
O 0.750 0.876 0.517
O 0.750 0.787 0.828
O 0.750 0.287 0.672
Ba 0.750 0.250 0.352
Ba 0.250 0.250 0.852
Ba 0.750 0.750 0.148
Ba 0.250 0.750 0.648
Nd 0.750 0.074 0.613
Nd 0.750 0.582 0.390
Nd 0.250 0.918 0.890
Nd 0.250 0.418 0.610
Nd 0.750 0.574 0.887
Nd 0.250 0.926 0.387
Nd 0.250 0.426 0.113
Nd 0.750 0.082 0.110
! space-group type	Pnma, No. 62
! formation energy without anion corrections	-24.0	eV per formula unit
! density	6909	kg/m3
! DFT total energy	-25.0946	eV per atom
! crystal system	orthorhombic
! M_tot	0.000	μB per atom